[1]
# SrCd2Cl6

A relaxed SrCd2Cl6 crystal (PBE, the Alexandria database).

Formation energy without anion corrections in eV/atom: -1.537
SG: P-31m
E in eV per formula unit: -28.4
Magnetization in μB per cell: 0.00

abc: 6.377 6.806 6.806
angles: 120.00 90.00 90.00
Element x y z (fractional)
Sr1 0.000 0.000 0.000
Cd1 0.500 0.667 0.333
Cd2 0.500 0.333 0.667
Cl1 0.735 0.645 0.645
Cl2 0.265 0.645 0.000
Cl3 0.265 0.000 0.645
Cl4 0.735 0.355 0.000
Cl5 0.265 0.355 0.355
Cl6 0.735 0.000 0.355

***

[2]
# Sr2CdCl

A relaxed Sr2CdCl crystal (PBE, the Alexandria database).

Formation energy without anion corrections in eV/atom: -0.729
SG: Fm-3m
E in eV per formula unit: -9.0
Magnetization in μB per cell: 0.00

abc: 5.779 5.779 5.779
angles: 60.00 60.00 60.00
Element x y z (fractional)
Sr1 0.250 0.250 0.250
Sr2 0.750 0.750 0.750
Cl1 0.000 0.000 0.000
Cd1 0.500 0.500 0.500

***

[3]
# SrCd3Cl8

A relaxed SrCd3Cl8 crystal (PBE, the Alexandria database).

Formation energy without anion corrections in eV/atom: -1.408
SG: C2/m
E in eV per formula unit: -36.1
Magnetization in μB per cell: 0.00

abc: 8.075 8.072 7.868
angles: 121.38 90.00 120.01
Element x y z (fractional)
Sr1 0.000 0.000 0.000
Cd1 0.500 0.000 0.000
Cd2 0.500 0.500 0.000
Cd3 0.000 0.500 0.000
Cl1 0.257 0.514 0.773
Cl2 0.743 0.486 0.227
Cl3 0.279 0.023 0.770
Cl4 0.744 0.023 0.770
Cl5 0.744 0.488 0.771
Cl6 0.256 0.512 0.229
Cl7 0.256 0.977 0.230
Cl8 0.721 0.977 0.230

***

[4]
# SrCdCl

A relaxed SrCdCl crystal (PBE, the Alexandria database).

Formation energy without anion corrections in eV/atom: -0.758
SG: F-43m
E in eV per formula unit: -6.7
Magnetization in μB per cell: 0.00

abc: 5.370 5.370 5.370
angles: 60.00 60.00 60.00
Element x y z (fractional)
Cd1 0.000 0.000 0.000
Cl1 0.500 0.500 0.500
Sr1 0.750 0.750 0.750

***

[5]
# SrCd2Cl6

A relaxed SrCd2Cl6 crystal (PBE, the Alexandria database).

Formation energy without anion corrections in eV/atom: -1.500
SG: C2/m
E in eV per formula unit: -28.1
Magnetization in μB per cell: 0.00

abc: 4.377 7.176 9.974
angles: 94.07 90.00 107.76
Element x y z (fractional)
Sr1 0.000 0.000 0.500
Cd1 0.745 0.491 0.806
Cd2 0.255 0.509 0.194
Cl1 0.918 0.836 0.758
Cl2 0.823 0.646 0.107
Cl3 0.177 0.354 0.893
Cl4 0.636 0.271 0.579
Cl5 0.364 0.729 0.421
Cl6 0.082 0.164 0.242

***

[6]
# Sr2CdCl

A relaxed Sr2CdCl crystal (PBE, the Alexandria database).

Formation energy without anion corrections in eV/atom: -0.925
SG: Cm
E in eV per formula unit: -9.8
Magnetization in μB per cell: 0.00

abc: 8.248 8.248 4.302
angles: 89.81 89.81 29.70
Element x y z (fractional)
Cd1 0.547 0.547 0.373
Cl1 0.775 0.775 0.876
Sr1 0.961 0.961 0.874
Sr2 0.217 0.217 0.377

***

Calculated values (states/eV/f.u.) of N(E_F) for the records, taken in order: 0.0, 5.5, 0.0, 3.1, 0.0, 2.8.